No. 1
Density functional theory data (PBE-GGA) for ZnReTe2Pb after structural relaxation.

## Properties
E_form (uncorrected): 1.6151 eV per atom

Cell: 5.9569 5.9569 5.4697 Å, 90.00 90.00 90.00°
Closest atoms and distances in Å follow each position.
Sites, in units of the cell vectors:
Zn (0.0000, 0.0000, 0.0000)  8 Te 4.04, 4 Re 4.21
Re (0.5000, 0.5000, 0.0000)  2 Pb 2.73
Te (0.0000, 0.5000, 0.5000)  2 Pb 2.98
Te (0.5000, 0.0000, 0.5000)  2 Pb 2.98
Pb (0.5000, 0.5000, 0.5000)  2 Re 2.73, 4 Te 2.98

No. 2
Density functional theory data (PBE-GGA) for CdTeCl2 after structural relaxation.

## Properties
offset from the most stable computed form: 62.3 kJ per mole of atoms
E_form (uncorrected): 0.1059 eV per atom

Cell: 5.2456 5.2456 5.2456 Å, 60.00 60.00 60.00°
Closest atoms and distances in Å follow each position.
Sites, in units of the cell vectors:
Cd (0.0000, 0.0000, 0.0000)  8 Cl 3.21
Te (0.5000, 0.5000, 0.5000)  8 Cl 3.21
Cl (0.2500, 0.2500, 0.2500)  4 Cd 3.21, 4 Te 3.21
Cl (0.7500, 0.7500, 0.7500)  4 Cd 3.21, 4 Te 3.21